First-principles (PBE-GGA) data for a geometry-optimized CrAgP2N structure, as listed in the Alexandria database.

V   105.6 Å³/cell
SG   P4/mmm, No. 123
Magnetic moment   0.04 μB per cell
E_form (uncorrected)   2.68 eV per atom

Lattice parameters (Å, degrees): 4.605 4.605 4.982 90.00 90.00 90.00
Atoms (fractional coordinates):
Cr  0.000  0.000  0.000
Ag  0.000  0.000  0.500
P  0.000  0.500  0.500
P  0.500  0.000  0.500
N  0.500  0.500  0.000